A relaxed SbHIrAuBr crystal. Source: Alexandria, functional GGA-PBE.

abc: 3.9845 5.1435 5.9275
angles: 89.55 88.00 85.28
Space group P1 (No. 1)
Inequivalent atoms, fractional coordinates:
Sb (0.0000, 0.0000, 0.0000)
H (0.6983, 0.6042, 0.0648)
Ir (0.9340, 0.6352, 0.2846)
Au (0.4487, 0.3184, 0.1158)
Br (0.3948, 0.7583, 0.5413)

Calculated values
total moment	0.00	Bohr magnetons per cell
E	-4.1077	eV/atom
offset from the most stable computed form	0.153	eV/atom
volume	24.2	Å³/atom
N(E_F)	0.355	states/eV/atom